Record 1
Ba5Re3O16 (meta-GGA SCAN, single point on PBEsol structure); total magnetic moment = 1.106 μB/f.u.; volume = 803 Å³/cell; formation energy without anion corrections = -2397 meV/atom
1.0
7.874 0.000 0.000
0.000 10.854 0.000
0.000 -5.427 9.399
O Ba Re
32 10 6
Cartesian
6.967 3.862 6.688 O
4.452 8.031 2.380 O
4.452 3.473 1.255 O
3.030 7.723 0.000 O
5.905 0.109 8.151 O
1.968 -0.109 8.151 O
0.515 6.077 5.765 O
4.452 -0.650 3.635 O
3.030 -3.862 6.688 O
1.968 -1.578 5.230 O
1.968 1.687 5.418 O
4.452 -1.954 8.145 O
5.905 5.535 1.248 O
0.515 7.381 1.255 O
0.515 1.954 8.145 O
5.905 -1.687 5.418 O
1.814 0.000 0.000 O
0.515 -2.604 7.019 O
1.968 7.114 3.982 O
4.452 2.604 7.019 O
1.968 3.849 4.170 O
5.905 3.740 3.982 O
3.030 1.565 2.711 O
0.515 2.823 2.380 O
5.751 0.000 0.000 O
5.905 7.005 4.170 O
6.967 -1.565 2.711 O
6.967 3.131 0.000 O
5.905 1.578 5.230 O
0.515 0.650 3.635 O
1.968 5.318 1.248 O
4.452 4.777 5.765 O
2.062 2.843 0.000 Ba
2.062 4.005 6.937 Ba
2.062 -1.422 2.462 Ba
6.000 8.010 0.000 Ba
6.000 1.422 2.462 Ba
6.000 -4.005 6.937 Ba
3.969 0.000 6.266 Ba
3.969 5.427 3.133 Ba
0.031 0.000 6.266 Ba
0.031 5.427 3.133 Ba
5.581 -2.105 3.646 Re
5.581 3.322 5.753 Re
5.581 4.210 0.000 Re
1.644 6.643 0.000 Re
1.644 -3.322 5.753 Re
1.644 2.105 3.646 Re

Record 2
Ba2ReO5 (meta-GGA SCAN, single point on PBEsol structure); total magnetic moment = 0.548 μB/f.u.; volume = 479 Å³/cell; formation energy without anion corrections = -2505 meV/atom
1.0
-1.641 1.236 -5.304
3.600 -5.853 -2.478
-9.473 -6.432 1.432
O Ba Re
20 8 4
Cartesian
-4.514 -10.632 -2.606 O
-3.757 -5.524 -3.175 O
-3.999 -7.433 -5.070 O
-0.821 0.618 -2.652 O
-1.567 -1.426 -5.883 O
-3.516 -3.616 -1.280 O
1.335 -4.471 -2.980 O
-5.948 -9.623 -0.467 O
-1.500 -6.654 -4.202 O
-5.229 -4.987 0.391 O
-3.001 -0.417 -3.744 O
-2.937 -6.143 -0.523 O
0.000 0.000 0.000 O
-5.241 -6.977 -1.530 O
-6.733 -9.031 -3.007 O
-6.015 -4.395 -2.148 O
-8.850 -6.578 -3.370 O
-2.274 -4.072 -4.821 O
-0.781 -2.018 -3.344 O
-2.285 -6.062 -6.741 O
-1.226 -4.580 -2.213 Ba
-7.911 -7.582 -0.844 Ba
-6.289 -6.469 -4.137 Ba
-2.892 -8.322 -2.570 Ba
0.396 -3.467 -5.506 Ba
-4.623 -2.727 -3.780 Ba
-5.145 -9.842 -5.277 Ba
-2.370 -1.207 -1.073 Ba
-1.226 -0.468 -4.305 Re
-4.555 -5.255 -1.340 Re
-6.289 -10.581 -2.045 Re
-2.959 -5.794 -5.010 Re

Record 3
BaReO2 (meta-GGA SCAN, single point on PBEsol structure); total magnetic moment = 0.000 μB/f.u.; volume = 65 Å³/cell; formation energy without anion corrections = -874 meV/atom
1.0
3.512 0.000 0.000
1.756 3.041 0.000
1.756 1.014 6.081
O Re Ba
2 1 1
Cartesian
1.756 1.014 3.543 O
5.268 3.041 2.538 O
3.512 2.028 3.040 Re
0.000 0.000 0.000 Ba

Record 4
Ba10Re3O22 (meta-GGA SCAN, single point on PBEsol structure); total magnetic moment = 3.031 μB/f.u.; volume = 570 Å³/cell; formation energy without anion corrections = -2416 meV/atom
1.0
-3.059 -4.848 0.289
6.040 -4.212 -6.709
6.915 -0.502 7.763
O Re Ba
22 3 10
Cartesian
9.027 -4.004 -1.295 O
5.480 -6.815 0.695 O
5.139 -5.181 -1.334 O
4.303 -2.452 4.412 O
5.047 -4.591 6.790 O
1.448 -0.863 0.850 O
4.416 -2.748 0.648 O
3.753 -7.378 -1.203 O
0.869 -5.558 2.638 O
2.462 -3.034 2.488 O
8.447 -8.699 0.493 O
8.397 -5.153 2.443 O
5.835 -6.809 4.551 O
6.678 -2.007 6.635 O
7.434 -6.529 -1.145 O
4.848 -4.971 -5.447 O
5.592 -7.110 -3.069 O
3.218 -7.556 -5.292 O
6.143 -2.184 2.546 O
1.499 -4.410 -1.100 O
4.061 -2.754 -3.208 O
4.756 -4.382 2.677 O
0.000 0.000 0.000 Re
4.240 -2.525 2.532 Re
5.656 -7.038 -1.189 Re
9.909 -6.235 0.297 Ba
7.079 -7.713 2.549 Ba
3.187 -5.604 -3.258 Ba
6.690 -4.183 0.639 Ba
2.817 -1.850 -1.206 Ba
3.206 -5.379 0.704 Ba
6.709 -3.959 4.601 Ba
7.237 -4.759 -3.228 Ba
-0.013 -3.328 1.046 Ba
2.659 -4.803 4.571 Ba

Record 5
Ba2ScReO6 (meta-GGA SCAN, single point on PBEsol structure); total magnetic moment = 2.003 μB/f.u.; volume = 135 Å³/cell; formation energy without anion corrections = -2902 meV/atom
1.0
-4.581 -3.464 0.332
0.699 -5.710 -0.081
-0.937 -3.081 4.767
O Sc Re Ba
6 1 1 2
Cartesian
-3.170 -7.702 1.342 O
-1.286 -7.504 3.635 O
-4.016 -6.343 3.849 O
-0.802 -5.911 1.170 O
-3.532 -4.750 1.384 O
-1.648 -4.552 3.677 O
-2.409 -6.127 2.509 Sc
0.000 0.000 0.000 Re
-1.205 -3.064 1.255 Ba
-3.614 -9.191 3.764 Ba

Record 6
Ba4ScReWO12 (meta-GGA SCAN, single point on PBEsol structure); total magnetic moment = 0.000 μB/f.u.; volume = 266 Å³/cell; formation energy without anion corrections = -2893 meV/atom
1.0
5.749 0.000 0.000
2.874 4.979 0.000
2.874 1.660 9.279
O Ba Re Sc W
12 4 1 1 1
Cartesian
5.749 4.882 3.364 O
4.368 2.522 8.100 O
7.131 4.117 5.895 O
4.391 4.103 1.217 O
4.395 2.538 3.364 O
5.749 4.914 8.100 O
7.102 2.538 3.364 O
5.749 1.722 5.895 O
5.749 1.752 1.217 O
7.130 2.522 8.100 O
7.106 4.103 1.217 O
4.366 4.117 5.895 O
2.874 1.660 5.640 Ba
2.874 1.660 1.153 Ba
8.623 4.979 8.053 Ba
8.623 4.979 3.745 Ba
5.749 3.319 2.412 Re
2.874 1.660 9.234 Sc
5.749 3.319 6.829 W

Record 7
Ba2SmReO6 (meta-GGA SCAN, single point on PBEsol structure); total magnetic moment = 2.001 μB/f.u.; volume = 151 Å³/cell; formation energy without anion corrections = -2827 meV/atom
1.0
-1.473 -1.145 5.673
-1.107 -5.610 1.723
3.853 -2.842 3.570
O Ba Re Sm
6 2 1 1
Cartesian
2.364 -3.748 4.455 O
-1.091 -5.850 6.511 O
1.770 -6.761 5.381 O
-0.300 -5.234 3.464 O
-0.497 -2.836 5.585 O
1.573 -4.363 7.503 O
0.955 -7.198 8.225 Ba
0.318 -2.399 2.742 Ba
0.000 0.000 0.000 Re
0.637 -4.799 5.483 Sm

Record 8
Ba2TbReO6 (meta-GGA SCAN, single point on PBEsol structure); total magnetic moment = 2.000 μB/f.u.; volume = 146 Å³/cell; formation energy without anion corrections = -2878 meV/atom
1.0
5.917 0.000 0.000
2.958 5.124 0.000
2.958 1.708 4.831
Tb O Ba Re
1 6 2 1
Cartesian
5.917 3.416 2.416 Tb
7.490 2.508 3.700 O
5.917 5.233 3.700 O
4.343 4.325 1.131 O
5.917 1.599 1.131 O
4.343 2.508 3.700 O
7.490 4.325 1.131 O
8.875 5.124 3.623 Ba
2.958 1.708 1.208 Ba
0.000 0.000 0.000 Re

Record 9
Ba2TlReO (meta-GGA SCAN, single point on PBEsol structure); total magnetic moment = 3.106 μB/f.u.; volume = 203 Å³/cell; formation energy without anion corrections = 896 meV/atom
1.0
-1.106 3.698 -3.237
-4.139 -3.818 -2.946
-4.616 2.013 3.877
Ba Re Tl O
2 1 1 1
Cartesian
-2.308 1.007 1.938 Ba
-2.070 -1.909 -1.473 Ba
-0.553 1.849 -1.619 Re
0.000 0.000 0.000 Tl
-4.931 0.947 -1.154 O

Record 10
Ba2TmReO6 (meta-GGA SCAN, single point on PBEsol structure); total magnetic moment = 2.000 μB/f.u.; volume = 143 Å³/cell; formation energy without anion corrections = -2927 meV/atom
1.0
-1.951 1.926 -5.183
-2.289 -3.775 -3.858
-5.755 0.081 -1.121
O Ba Re Tm
6 2 1 1
Cartesian
-6.422 0.638 -5.724 O
-3.394 0.595 -5.135 O
-5.396 -0.376 -2.996 O
-6.600 -2.363 -5.027 O
-3.572 -2.406 -4.437 O
-4.598 -1.392 -7.165 O
-7.496 -1.326 -7.621 Ba
-2.499 -0.442 -2.540 Ba
0.000 0.000 0.000 Re
-4.997 -0.884 -5.081 Tm

Record 11
Ba6YRe3O18 (meta-GGA SCAN, single point on PBEsol structure); total magnetic moment = 0.000 μB/f.u.; volume = 817 Å³/cell; formation energy without anion corrections = -2659 meV/atom
1.0
-7.906 5.932 -0.798
1.922 -1.593 -9.742
-3.949 -7.353 5.612
O Y Ba Re
36 2 12 6
Cartesian
-4.159 -1.656 -0.658 O
-4.823 -0.364 -6.973 O
-3.547 -6.610 -0.528 O
-3.815 2.180 -7.190 O
-5.250 -6.155 -2.550 O
-1.574 -1.301 -1.090 O
-5.732 2.112 0.366 O
-0.513 -1.787 -5.902 O
-5.774 -1.358 -4.271 O
-2.226 -1.376 -7.917 O
-7.707 -1.638 2.987 O
-6.427 1.709 -6.852 O
-6.697 -2.264 -1.857 O
-8.357 -0.165 -1.727 O
-4.136 -3.338 -2.834 O
-5.797 0.324 -2.095 O
-3.506 -4.722 1.923 O
-1.580 -4.682 -5.669 O
-4.401 -5.541 4.244 O
0.357 -0.874 -8.197 O
-3.235 -0.750 -3.073 O
-2.485 -3.741 -0.823 O
-8.358 -1.713 -3.839 O
-7.447 0.728 -4.106 O
-4.200 -5.125 -5.296 O
-10.290 -2.140 3.268 O
-4.683 3.142 -2.379 O
-9.419 -1.227 0.973 O
-5.532 2.527 -9.173 O
-6.386 3.597 -4.401 O
-1.576 -2.849 -3.202 O
-8.352 1.668 0.740 O
-6.118 -5.194 2.261 O
-7.789 -3.274 0.785 O
-2.143 0.260 -5.714 O
-5.110 -2.650 2.044 O
-1.993 -5.434 0.497 Y
-0.034 -3.511 -4.628 Y
-5.389 -4.261 -0.355 Ba
-6.508 -0.679 0.561 Ba
-4.544 1.247 -4.574 Ba
-3.425 -2.335 -5.490 Ba
-7.468 2.691 -1.847 Ba
-7.593 -1.033 -6.450 Ba
-2.340 -1.980 1.521 Ba
-6.581 -4.153 -4.074 Ba
-0.463 -0.139 -3.388 Ba
-3.352 1.139 -0.855 Ba
-9.470 -2.875 -1.541 Ba
-2.464 -5.704 -3.082 Ba
-6.957 -0.827 -2.971 Re
-1.020 -0.266 -7.088 Re
-4.941 -4.113 3.166 Re
-2.975 -2.187 -1.958 Re
-8.913 -2.747 2.159 Re
-4.991 1.099 -8.095 Re

Record 12
BaRhO3 (meta-GGA SCAN, single point on PBEsol structure); total magnetic moment = 1.202 μB/f.u.; volume = 64 Å³/cell; formation energy without anion corrections = -1775 meV/atom
1.0
4.007 0.000 0.000
0.000 4.007 0.000
0.000 0.000 4.007
O Ba Rh
3 1 1
Cartesian
0.000 0.000 2.003 O
0.000 2.003 0.000 O
2.003 0.000 0.000 O
2.003 2.003 2.003 Ba
0.000 0.000 0.000 Rh

Q: Which formula does entry 10 have?
A: Ba2TmReO6